# 1
Material: LiCuSiIr
Method: DFT, GGA-PBE
State: optimized geometry

Lattice parameters (Å, degrees): 4.085 4.085 4.085 60.00 60.00 60.00
Fractional positions:
Cu  0.750  0.750  0.750
Ir  0.250  0.250  0.250
Li  0.500  0.500  0.500
Si  0.000  0.000  0.000

Properties
ΔE to the lowest computed polymorph (meV/atom): 0
SG: F-43m, No. 216

=====

# 2
Material: LiCuTe4Ir2
Method: DFT, GGA-PBE
State: optimized geometry

Lattice parameters (Å, degrees): 7.330 7.330 7.330 131.21 131.21 71.49
Fractional positions:
Cu  0.000  0.000  0.000
Ir  0.500  0.500  0.000
Ir  0.750  0.250  0.500
Li  0.250  0.750  0.500
Te  0.643  0.147  0.028
Te  0.853  0.881  0.496
Te  0.385  0.357  0.504
Te  0.119  0.615  0.972

Properties
SG: I-4, No. 82
Total energy (Ry per atom): -0.3315

=====

# 3
Material: LiCuTe3Ir
Method: DFT, GGA-PBE
State: optimized geometry

Lattice parameters (Å, degrees): 3.943 6.814 10.289 90.00 90.00 73.18
Fractional positions:
Cu  0.450  0.100  0.250
Cu  0.550  0.900  0.750
Ir  0.000  0.000  0.000
Ir  0.000  0.000  0.500
Li  0.778  0.444  0.250
Li  0.222  0.556  0.750
Te  0.360  0.280  0.030
Te  0.081  0.837  0.250
Te  0.360  0.280  0.470
Te  0.640  0.720  0.530
Te  0.919  0.163  0.750
Te  0.640  0.720  0.970

Properties
SG: Cmcm, No. 63
Total energy (Ry per atom): -0.3098

=====

# 4
Material: LiTlCuIr
Method: DFT, GGA-PBE
State: optimized geometry

Lattice parameters (Å, degrees): 4.480 4.480 4.480 60.00 60.00 60.00
Fractional positions:
Cu  0.750  0.750  0.750
Ir  0.250  0.250  0.250
Li  0.500  0.500  0.500
Tl  0.000  0.000  0.000

Properties
ΔE to the lowest computed polymorph (meV/atom): 31
SG: F-43m, No. 216

=====

# 5
Material: LiTlCuIr
Method: DFT, GGA-PBE
State: optimized geometry

Lattice parameters (Å, degrees): 4.384 4.384 4.384 60.00 60.00 60.00
Fractional positions:
Cu  0.750  0.750  0.750
Ir  0.500  0.500  0.500
Li  0.250  0.250  0.250
Tl  0.000  0.000  0.000

Properties
ΔE to the lowest computed polymorph (meV/atom): 0
SG: F-43m, No. 216

=====

# 6
Material: LiZnCuIr
Method: DFT, GGA-PBE
State: optimized geometry

Lattice parameters (Å, degrees): 4.165 4.165 4.165 60.00 60.00 60.00
Fractional positions:
Cu  0.750  0.750  0.750
Ir  0.250  0.250  0.250
Li  0.500  0.500  0.500
Zn  0.000  0.000  0.000

Properties
ΔE to the lowest computed polymorph (meV/atom): 0
SG: F-43m, No. 216

=====

# 7
Material: LuCuIr
Method: DFT, GGA-PBE
State: optimized geometry

Lattice parameters (Å, degrees): 4.413 4.413 4.413 60.00 60.00 60.00
Fractional positions:
Cu  0.250  0.250  0.250
Ir  0.000  0.000  0.000
Lu  0.750  0.750  0.750

Properties
ΔE to the lowest computed polymorph (meV/atom): 0
SG: F-43m, No. 216

=====

# 8
Material: LuCuIr2
Method: DFT, GGA-PBE
State: optimized geometry

Lattice parameters (Å, degrees): 4.517 4.517 4.517 60.00 60.00 60.00
Each line ends with the local moment (μB).
Fractional positions:
Cu  0.750  0.750  0.750  0.03
Ir  0.000  0.000  0.000  0.52
Ir  0.250  0.250  0.250  0.62
Lu  0.500  0.500  0.500  0.01

Properties
SG: F-43m, No. 216
Total energy (Ry per atom): -0.4896

=====

# 9
Material: LuCuIr
Method: DFT, GGA-PBE
State: optimized geometry

Lattice parameters (Å, degrees): 4.422 4.422 4.422 60.00 60.00 60.00
Fractional positions:
Cu  0.250  0.250  0.250
Ir  0.750  0.750  0.750
Lu  0.000  0.000  0.000

Properties
ΔE to the lowest computed polymorph (meV/atom): 383
SG: F-43m, No. 216

=====

# 10
Material: LuNbCuIr
Method: DFT, GGA-PBE
State: optimized geometry

Lattice parameters (Å, degrees): 4.550 4.550 4.550 60.00 60.00 60.00
Fractional positions:
Cu  0.750  0.750  0.750
Ir  0.500  0.500  0.500
Lu  0.000  0.000  0.000
Nb  0.250  0.250  0.250

Properties
ΔE to the lowest computed polymorph (meV/atom): 59
SG: F-43m, No. 216

=====

# 11
Material: LuNbCuIr
Method: DFT, GGA-PBE
State: optimized geometry

Lattice parameters (Å, degrees): 4.615 4.615 4.615 60.00 60.00 60.00
Fractional positions:
Cu  0.750  0.750  0.750
Ir  0.250  0.250  0.250
Lu  0.000  0.000  0.000
Nb  0.500  0.500  0.500

Properties
ΔE to the lowest computed polymorph (meV/atom): 0
SG: F-43m, No. 216

=====

# 12
Material: Lu4CuNiIr2
Method: DFT, GGA-PBE
State: optimized geometry

Lattice parameters (Å, degrees): 4.736 4.736 6.694 90.00 90.00 90.00
Fractional positions:
Cu  0.000  0.000  0.000
Ir  0.500  0.500  0.000
Ir  0.000  0.000  0.500
Lu  0.500  0.000  0.253
Lu  0.000  0.500  0.253
Lu  0.500  0.000  0.747
Lu  0.000  0.500  0.747
Ni  0.500  0.500  0.500

Properties
SG: P4/mmm, No. 123
Total energy (Ry per atom): -0.4682

=====

# 13
Material: LuCuIrPb
Method: DFT, GGA-PBE
State: optimized geometry

Lattice parameters (Å, degrees): 4.767 4.767 4.767 60.00 60.00 60.00
Fractional positions:
Cu  0.750  0.750  0.750
Ir  0.500  0.500  0.500
Lu  0.250  0.250  0.250
Pb  0.000  0.000  0.000

Properties
ΔE to the lowest computed polymorph (meV/atom): 218
SG: F-43m, No. 216

=====

# 14
Material: LuCuIrPb
Method: DFT, GGA-PBE
State: optimized geometry

Lattice parameters (Å, degrees): 4.746 4.746 4.746 60.00 60.00 60.00
Fractional positions:
Cu  0.750  0.750  0.750
Ir  0.250  0.250  0.250
Lu  0.500  0.500  0.500
Pb  0.000  0.000  0.000

Properties
ΔE to the lowest computed polymorph (meV/atom): 0
SG: F-43m, No. 216

=====

Listing theoretical density for the structures above in their given order: 10.02, 7.35, 8.10, 12.20, 13.02, 10.66, 11.77, 15.87, 11.70, 13.05, 12.51, 13.34, 13.83, 14.01 g/cm3.